w) First-principles (PBE) data for crystalline TbSiHO4 at its relaxed geometry, as listed in the Open Quantum Materials Database.

```
data_TbSiHO4
_space_group_name_H-M_alt 'P 1 21/c 1'
_space_group_IT_number 14
_cell_length_a 7.104
_cell_length_b 6.262
_cell_length_c 6.900
_cell_angle_alpha 90.00
_cell_angle_beta 98.73
_cell_angle_gamma 90.00
loop_
_space_group_symop_operation_xyz
'x,y,z'
'-x,-y,-z'
'-x,y+1/2,-z+1/2'
'x,-y+1/2,z+1/2'
loop_
_atom_site_label
_atom_site_type_symbol
_atom_site_fract_x
_atom_site_fract_y
_atom_site_fract_z
Tb1 Tb 0.224 0.137 0.493
Si1 Si 0.249 0.624 0.483
H1 H 0.395 0.629 0.833
O1 O 0.075 0.708 0.975
O2 O 0.237 0.054 0.811
O3 O 0.287 0.018 0.184
O4 O 0.433 0.706 0.968
```

Values from the calculation:
As for the volume: 10.83 Å³/atom.

x) First-principles (PBE) data for crystalline TbSiHO4 at its relaxed geometry, as listed in the Open Quantum Materials Database.

```
data_TbSiHO4
_space_group_name_H-M_alt 'R 3'
_space_group_IT_number 146
_space_group_name_Hall 'R 3'
_cell_length_a 14.6279
_cell_length_b 14.6279
_cell_length_c 8.2896
_cell_angle_alpha 90.00
_cell_angle_beta 90.00
_cell_angle_gamma 120.00
loop_
_atom_site_label
_atom_site_type_symbol
_atom_site_fract_x
_atom_site_fract_y
_atom_site_fract_z
Tb1 Tb 0.0042 0.2302 0.0000
Tb2 Tb 0.0540 0.7964 0.5598
Si1 Si 0.1328 0.6728 0.8312
Si2 Si 0.1396 0.4221 0.3108
H1 H 0.0552 0.7998 0.9110
H2 H 0.1814 0.0718 0.3914
O1 O 0.0044 0.3753 0.8866
O2 O 0.0407 0.7055 0.8001
O3 O 0.0616 0.8532 0.9962
O4 O 0.0695 0.2390 0.7138
O5 O 0.0740 0.8443 0.3114
O6 O 0.1842 0.0893 0.5107
O7 O 0.1940 0.4036 0.4712
O8 O 0.1964 0.0861 0.1834
```

Values from the calculation:
As for the volume: 12.19 Å³/atom.

Relative to the most stable structure, the computed energies are w) 0.000; x) 0.037, all in eV/atom.

w) First-principles (PBE) data for crystalline Zr2H2O5 at its relaxed geometry, as listed in the Open Quantum Materials Database.

```
data_Zr2H2O5
_space_group_name_H-M_alt 'C 1 2/m 1'
_space_group_IT_number 12
_cell_length_a 12.709
_cell_length_b 3.264
_cell_length_c 4.892
_cell_angle_alpha 90.00
_cell_angle_beta 99.08
_cell_angle_gamma 90.00
loop_
_space_group_symop_operation_xyz
'x,y,z'
'-x,-y,-z'
'-x,y,-z'
'x,-y,z'
'x+1/2,y+1/2,z'
'-x+1/2,-y+1/2,-z'
'-x+1/2,y+1/2,-z'
'x+1/2,-y+1/2,z'
loop_
_atom_site_label
_atom_site_type_symbol
_atom_site_fract_x
_atom_site_fract_y
_atom_site_fract_z
Zr1 Zr 0.136 0.000 0.355
H1 H 0.144 0.500 0.880
O1 O 0.000 0.000 0.500
O2 O 0.120 0.500 0.073
O3 O 0.189 0.500 0.624
```

Values from the calculation:
As for the volume: 11.13 Å³/atom.

x) First-principles (PBE) data for crystalline Zr2H2O5 at its relaxed geometry, as listed in the Open Quantum Materials Database.

```
data_Zr2H2O5
_space_group_name_H-M_alt 'P 4/m m m'
_space_group_IT_number 123
_space_group_name_Hall '-P 4 2'
_cell_length_a 3.519
_cell_length_b 3.519
_cell_length_c 5.990
_cell_angle_alpha 90.00
_cell_angle_beta 90.00
_cell_angle_gamma 90.00
loop_
_atom_site_label
_atom_site_type_symbol
_atom_site_fract_x
_atom_site_fract_y
_atom_site_fract_z
Zr1 Zr 0.000 0.000 0.000
Zr2 Zr 0.000 0.000 0.500
H1 H 0.500 0.500 0.174
O1 O 0.000 0.500 0.275
O2 O 0.500 0.500 0.000
```

Values from the calculation:
As for the volume: 8.24 Å³/atom.

Relative to the most stable structure, the computed energies are w) 0.000; x) 0.683, all in eV/atom.

w) First-principles (PBE) data for crystalline HOs at its relaxed geometry, as listed in the Open Quantum Materials Database.

```
data_HOs
_space_group_name_H-M_alt 'P -6 m 2'
_space_group_IT_number 187
_space_group_name_Hall 'P -6 2'
_cell_length_a 2.7153
_cell_length_b 2.7153
_cell_length_c 2.7742
_cell_angle_alpha 90.00
_cell_angle_beta 90.00
_cell_angle_gamma 120.00
loop_
_atom_site_label
_atom_site_type_symbol
_atom_site_fract_x
_atom_site_fract_y
_atom_site_fract_z
H1 H 0.0000 0.0000 0.0000
Os1 Os 0.6667 0.3333 0.5000
```

Values from the calculation:
As for the volume: 8.86 Å³/atom.

x) First-principles (PBE) data for crystalline HOs at its relaxed geometry, as listed in the Open Quantum Materials Database.

```
data_HOs
_space_group_name_H-M_alt 'F m -3 m'
_space_group_IT_number 225
_space_group_name_Hall '-F 4 2 3'
_cell_length_a 4.038
_cell_length_b 4.038
_cell_length_c 4.038
_cell_angle_alpha 90.00
_cell_angle_beta 90.00
_cell_angle_gamma 90.00
loop_
_atom_site_label
_atom_site_type_symbol
_atom_site_fract_x
_atom_site_fract_y
_atom_site_fract_z
H1 H 0.000 0.000 0.000
Os1 Os 0.000 0.000 0.500
```

Values from the calculation:
As for the volume: 8.23 Å³/atom.

Relative to the most stable structure, the computed energies are w) 0.286; x) 0.000, all in eV/atom.